No. 1
SbTe2HPb: optimized geometry, PBE.

Lattice parameters (Å, degrees): 5.9786 5.9786 5.9667 90.00 90.00 90.00
Last column: nearest neighbours and their distance in Å.
Fractional coordinates of all 5 atoms:
Sb 0.0000 0.0000 0.0000  2 Pb 2.98
Te 0.0000 0.5000 0.5000  2 Pb 2.99
Te 0.5000 0.0000 0.5000  2 Pb 2.99
H 0.5000 0.5000 0.0000  8 Te 4.22, 4 Sb 4.23
Pb 0.0000 0.0000 0.5000  2 Sb 2.98, 4 Te 2.99

## Properties
theoretical density = 4.6 g/cm3
magnetization = 1.88 μB per cell
ΔE to the lowest computed polymorph = 855 meV per atom



No. 2
Th2BiOs: optimized geometry, PBE.

Lattice parameters (Å, degrees): 7.8850 7.8850 7.8850 31.46 31.46 31.46
Last column: nearest neighbours and their distance in Å.
Fractional coordinates of all 4 atoms:
Th 0.2336 0.2336 0.2336  3 Os 2.89
Th 0.7664 0.7664 0.7664  3 Os 2.89
Bi 0.0000 0.0000 0.0000  6 Th 3.33
Os 0.5000 0.5000 0.5000  6 Th 2.89

## Properties
theoretical density = 12.1 g/cm3
ΔE_f = -174.6 kJ/mol of formula units
magnetization = 0.00 μB per cell
ΔE to the lowest computed polymorph = 0 meV per atom